No. 1
RbGe2AsP GGA-PBE relaxed; volume = 166.67 Å³/cell; symmetry = P4/mmm; energy of formation = 966 kJ/mol of formula units
1.0
5.616 0.000 0.000
0.000 5.285 0.000
0.000 0.000 5.616
P As Ge Rb
1 1 2 1
direct
0.000 0.500 0.000
0.500 0.500 0.500
0.000 0.000 0.500
0.500 0.000 0.000
0.000 0.000 0.000

***

No. 2
GeAsP2S GGA-PBE relaxed; volume = 106.40 Å³/cell; symmetry = P4/mmm; raw formation energy = 0.87 eV/atom; polymorph energy (0 for the lowest one) = 0 meV per atom
1.0
-1.974 -2.808 -3.214
4.235 -1.730 -1.089
-0.545 -3.430 3.330
S P As Ge
1 2 1 1
direct
0.000 0.000 0.500
0.000 0.500 0.000
0.500 0.000 0.000
0.000 0.000 0.000
0.500 0.500 0.500

***

No. 3
GeAsPS2 GGA-PBE relaxed; volume = 106.82 Å³/cell; symmetry = P4/mmm; raw formation energy = 0.68 eV/atom; polymorph energy (0 for the lowest one) = 0 meV per atom
1.0
-0.349 3.145 3.556
-4.729 -0.544 0.016
0.413 -3.498 3.134
S P As Ge
2 1 1 1
direct
0.000 0.500 0.000
0.500 0.000 0.000
0.000 0.000 0.500
0.000 0.000 0.000
0.500 0.500 0.500

***

No. 4
ScGeAsP2 GGA-PBE relaxed; volume = 107.83 Å³/cell; symmetry = P4/mmm; energy of formation = 246 kJ/mol of formula units
1.0
-4.496 -0.281 -1.399
1.458 -1.415 -4.401
-0.154 -4.502 1.397
Sc P As Ge
1 2 1 1
direct
0.500 0.500 0.500
0.000 0.000 0.500
0.500 0.000 0.000
0.000 0.000 0.000
0.000 0.500 0.000

***

No. 5
Sc6GeAs3P2 GGA-PBE relaxed; volume = 240.76 Å³/cell; symmetry = C2/m; energy of formation = -1474 kJ/mol of formula units
1.0
-1.561 3.410 0.755
-4.648 -0.774 -6.112
-3.674 -5.120 5.833
Sc Ge As P
6 1 3 2
direct
0.331 0.908 0.662
0.670 0.579 0.339
0.669 0.092 0.338
0.003 0.256 0.006
0.997 0.744 0.994
0.330 0.421 0.661
0.500 0.000 0.000
0.500 0.500 0.000
0.835 0.167 0.669
0.165 0.833 0.331
0.833 0.665 0.665
0.167 0.335 0.335

***

No. 6
SiGeAsP GGA-PBE relaxed; volume = 102.04 Å³/cell; symmetry = Cm; raw formation energy = -0.04 eV/atom
1.0
3.674 0.012 0.011
1.827 3.188 0.011
-0.034 -0.020 8.728
Si Ge As P
1 1 1 1
direct
0.239 0.239 0.202
0.239 0.239 0.477
0.906 0.906 0.614
0.572 0.572 0.092

***

No. 7
Sm6GeAs3P2 GGA-PBE relaxed; volume = 309.99 Å³/cell; symmetry = C2/m; energy of formation = -1607 kJ/mol of formula units
1.0
4.171 0.000 0.000
0.000 8.382 0.332
-2.086 -2.382 8.772
Sm Ge As P
6 1 3 2
direct
0.332 0.910 0.663
0.669 0.580 0.338
0.668 0.090 0.337
0.002 0.255 0.005
0.998 0.745 0.995
0.331 0.420 0.662
0.500 0.000 0.000
0.500 0.500 0.000
0.834 0.167 0.668
0.166 0.833 0.332
0.833 0.665 0.665
0.167 0.335 0.335

***

No. 8
SnGeAs2P GGA-PBE relaxed; volume = 117.58 Å³/cell; symmetry = P4/mmm; energy of formation = 314 kJ/mol of formula units
1.0
-1.712 1.288 -4.526
2.433 -3.518 -1.921
-3.923 -3.050 0.616
P As Ge Sn
1 2 1 1
direct
0.000 0.500 0.000
0.000 0.000 0.500
0.500 0.000 0.000
0.000 0.000 0.000
0.500 0.500 0.500

***

No. 9
SnGeAsP GGA-PBE relaxed; volume = 98.50 Å³/cell; symmetry = P3m1; energy of formation = 18 kJ/mol of formula units
1.0
-0.416 -3.253 -2.371
3.010 2.620 -0.669
1.102 -6.252 4.932
Sn Ge As P
1 1 1 1
direct
0.332 0.877 0.210
0.999 0.722 0.721
0.666 0.360 0.025
0.332 0.242 0.574

***

No. 10
SnGeAsP2 GGA-PBE relaxed; volume = 120.62 Å³/cell; symmetry = P4/mmm; energy of formation = 420 kJ/mol of formula units
1.0
-4.698 -0.036 -0.276
-0.239 -3.096 4.475
-0.186 3.871 2.669
P As Ge Sn
2 1 1 1
direct
0.000 0.000 0.500
0.500 0.000 0.000
0.000 0.000 0.000
0.500 0.500 0.500
0.000 0.500 0.000

***

No. 11
Sr2GeAsP GGA-PBE relaxed; volume = 278.20 Å³/cell; symmetry = P2_1/m; energy of formation = -379 kJ/mol of formula units
1.0
-1.488 3.610 2.160
0.892 -3.498 6.461
7.861 3.005 0.394
Sr Ge As P
4 2 2 2
direct
0.750 0.759 0.506
0.750 0.759 0.000
0.250 0.241 0.494
0.250 0.241 0.000
0.250 0.573 0.768
0.750 0.427 0.232
0.250 0.905 0.749
0.750 0.095 0.251
0.250 0.564 0.265
0.750 0.436 0.735

***

No. 12
Tb6GeAs3P2 GGA-PBE relaxed; volume = 293.50 Å³/cell; symmetry = C2/m; energy of formation = -1630 kJ/mol of formula units
1.0
4.092 0.000 0.000
0.000 8.234 0.327
-2.046 -2.339 8.618
Tb Ge As P
6 1 3 2
direct
0.332 0.909 0.663
0.669 0.580 0.338
0.668 0.091 0.337
0.003 0.256 0.005
0.997 0.744 0.995
0.331 0.420 0.662
0.500 0.000 0.000
0.500 0.500 0.000
0.834 0.167 0.668
0.166 0.833 0.332
0.833 0.665 0.665
0.167 0.335 0.335

***

Number 1: magnetization 0.000 μB per atom. Number 2: magnetization 0.000 μB per atom. Number 3: magnetization 0.000 μB per atom. Number 4: magnetization 0.000 μB per atom. Number 5: magnetization 0.000 μB per atom. Number 6: magnetization 0.000 μB per atom. Number 7: magnetization 0.000 μB per atom. Number 8: magnetization 0.000 μB per atom. Number 9: magnetization 0.000 μB per atom. Number 10: magnetization 0.000 μB per atom. Number 11: magnetization 0.000 μB per atom. Number 12: magnetization 0.000 μB per atom.